Ga2TeS4: optimized geometry, GGA-PBE.

Output
The symmetry is I4/m (87). The calculation puts the energy above the most stable polymorph in this dataset at 0 meV/atom. As for the density of states at the Fermi level: 0.00 states/eV/cell.

Cell: 7.5244 7.5244 6.2268 Å, 90.00 90.00 90.00°
Closest atoms and distances in Å follow each position.
Fractional coordinates of all 14 atoms:
Ga (0.0000, 0.5000, 0.2500)  4 S 2.32
Ga (0.0000, 0.5000, 0.7500)  4 S 2.32
Ga (0.5000, 0.0000, 0.2500)  4 S 2.32
Ga (0.5000, 0.0000, 0.7500)  4 S 2.32
Te (0.0000, 0.0000, 0.0000)  4 S 2.71
Te (0.5000, 0.5000, 0.5000)  4 S 2.71
S (0.1500, 0.3275, 0.0000)  2 Ga 2.32
S (0.1725, 0.6500, 0.5000)  2 Ga 2.32
S (0.3275, 0.8500, 0.0000)  2 Ga 2.32
S (0.3500, 0.1725, 0.5000)  2 Ga 2.32
S (0.6500, 0.8275, 0.5000)  2 Ga 2.32
S (0.6725, 0.1500, 0.0000)  2 Ga 2.32
S (0.8275, 0.3500, 0.5000)  2 Ga 2.32
S (0.8500, 0.6725, 0.0000)  2 Ga 2.32

---

GaTe2S: optimized geometry, GGA-PBE.

Output
The symmetry is R-3m (166). As for the density of states at the Fermi level: 7.69 states/eV/cell. As for the uncorrected energy: -12.8 eV/f.u.

Cell: 4.0988 4.0988 24.8948 Å, 90.00 90.00 120.00°
Closest atoms and distances in Å follow each position.
Fractional coordinates of all 12 atoms:
Ga (0.0000, 0.0000, 0.0000)  6 Te 2.87
Ga (0.3333, 0.6667, 0.6667)  6 Te 2.87
Ga (0.6667, 0.3333, 0.3333)  6 Te 2.87
Te (0.0000, 0.0000, 0.3985)  1 S 2.53
Te (0.0000, 0.0000, 0.6015)  1 S 2.53
Te (0.3333, 0.6667, 0.0652)  1 S 2.53
Te (0.3333, 0.6667, 0.2681)  1 S 2.53
Te (0.6667, 0.3333, 0.7319)  1 S 2.53
Te (0.6667, 0.3333, 0.9348)  1 S 2.53
S (0.0000, 0.0000, 0.5000)  2 Te 2.53
S (0.3333, 0.6667, 0.1667)  2 Te 2.53
S (0.6667, 0.3333, 0.8333)  2 Te 2.53

---

Ga3TeS: optimized geometry, GGA-PBE.

Output
The symmetry is Pm-3m (221). The calculation puts the energy above the most stable polymorph in this dataset at 0 meV/atom. As for the density of states at the Fermi level: 2.49 states/eV/cell.

Cell: 5.0883 5.0883 5.0883 Å, 90.00 90.00 90.00°
Closest atoms and distances in Å follow each position.
Fractional coordinates of all 5 atoms:
Ga (0.0000, 0.0000, 0.5000)  2 S 2.54
Ga (0.0000, 0.5000, 0.0000)  2 S 2.54
Ga (0.5000, 0.0000, 0.0000)  2 S 2.54
Te (0.5000, 0.5000, 0.5000)  12 Ga 3.60
S (0.0000, 0.0000, 0.0000)  6 Ga 2.54

---

GaTe2S8: optimized geometry, GGA-PBE.

Output
The symmetry is P-1 (2). As for the density of states at the Fermi level: 6.05 states/eV/cell. As for the uncorrected energy: -41.5 eV/f.u.

Cell: 5.0273 7.4894 8.7154 Å, 97.76 101.27 107.70°
Closest atoms and distances in Å follow each position.
Fractional coordinates of all 11 atoms:
Ga (0.0000, 0.0000, 0.0000)  4 S 2.41-2.47
Te (0.1944, 0.7091, 0.5678)  2 S 2.46-2.58
Te (0.8056, 0.2909, 0.4322)  2 S 2.46-2.58
S (0.2412, 0.3367, 0.1146)  1 S 2.02
S (0.2726, 0.8488, 0.1758)  1 S 2.03
S (0.2912, 0.0299, 0.7589)  1 S 2.03
S (0.3259, 0.5853, 0.8089)  1 S 2.02
S (0.6741, 0.4147, 0.1911)  1 S 2.02
S (0.7088, 0.9701, 0.2411)  1 S 2.03
S (0.7274, 0.1512, 0.8242)  1 S 2.03
S (0.7588, 0.6633, 0.8854)  1 S 2.02

---

Ga2TeS5: optimized geometry, GGA-PBE.

Output
The symmetry is Cmcm (63). As for the uncorrected energy: -31.4 eV/f.u.

Cell: 8.7259 8.7259 11.0222 Å, 90.00 90.00 144.49°
Closest atoms and distances in Å follow each position.
Fractional coordinates of all 16 atoms:
Ga (0.1916, 0.8084, 0.5472)  3 S 2.29-2.39
Ga (0.1916, 0.8084, 0.9528)  3 S 2.29-2.39
Ga (0.8084, 0.1916, 0.0472)  3 S 2.29-2.39
Ga (0.8084, 0.1916, 0.4528)  3 S 2.29-2.39
Te (0.1897, 0.8103, 0.2500)  2 S 2.48
Te (0.8103, 0.1897, 0.7500)  2 S 2.48
S (0.0866, 0.9134, 0.0872)  1 Ga 2.29, 1 Te 2.48
S (0.0866, 0.9134, 0.4128)  1 Ga 2.29, 1 Te 2.48
S (0.2419, 0.7581, 0.7500)  2 Ga 2.39
S (0.3084, 0.6916, 0.0623)  1 Ga 2.29
S (0.3084, 0.6916, 0.4377)  1 Ga 2.29
S (0.6916, 0.3084, 0.5623)  1 Ga 2.29
S (0.6916, 0.3084, 0.9377)  1 Ga 2.29
S (0.7581, 0.2419, 0.2500)  2 Ga 2.39
S (0.9134, 0.0866, 0.5872)  1 Ga 2.29, 1 Te 2.48
S (0.9134, 0.0866, 0.9128)  1 Ga 2.29, 1 Te 2.48

---

Ga3TeS: optimized geometry, GGA-PBE.

Output
The symmetry is Pm-3m (221). The calculation puts the energy above the most stable polymorph in this dataset at 513 meV/atom. As for the density of states at the Fermi level: 2.28 states/eV/cell.

Cell: 5.5846 5.5846 5.5846 Å, 90.00 90.00 90.00°
Closest atoms and distances in Å follow each position.
Fractional coordinates of all 5 atoms:
Ga (0.0000, 0.0000, 0.5000)  2 Te 2.79
Ga (0.0000, 0.5000, 0.0000)  2 Te 2.79
Ga (0.5000, 0.0000, 0.0000)  2 Te 2.79
Te (0.0000, 0.0000, 0.0000)  6 Ga 2.79
S (0.5000, 0.5000, 0.5000)  12 Ga 3.95